Na2LiHg4 | PBE-GGA | relaxed

Computed properties:
- Mass density: 8.3 Mg/m³
- Calculated total energy: -7.5 eV for the cell shown
- Energy relative to the elements: -0.2441 eV/atom
- E above lowest polymorph: 0 meV per atom

a b c (Å): 3.4569 6.6770 8.6794
angles (deg): 61.63 100.59 104.39
Fractional positions:
Li 0.0000 0.0000 0.5000
Hg 0.5924 0.4065 0.2812
Hg 0.6892 0.2100 0.6730
Hg 0.3108 0.7900 0.3270
Hg 0.4076 0.5935 0.7188
Na 0.1126 0.7860 0.9494
Na 0.8874 0.2140 0.0506

---

TmVNi2 | PBE-GGA | relaxed

Computed properties:
- Mass density: 8.5 Mg/m³
- Calculated total energy: -26.1 eV for the cell shown
- Energy relative to the elements: -0.2491 eV/atom
- E above lowest polymorph: 0 meV per atom

a b c (Å): 4.0633 4.0633 5.1821
angles (deg): 66.92 66.92 60.00
Fractional positions:
Ni 0.7020 0.7020 0.8941
Ni 0.2980 0.2980 0.1059
V 0.0000 0.0000 0.0000
Tm 0.5000 0.5000 0.5000

---

ZrTlTe2N | PBE-GGA | relaxed

Computed properties:
- Mass density: 6.5 Mg/m³
- Calculated total energy: -26.3 eV for the cell shown
- E above lowest polymorph: 0 meV per atom

a b c (Å): 5.9658 5.9658 4.0263
angles (deg): 90.00 90.00 90.00
Fractional positions:
Tl 0.5000 0.5000 0.5000
Zr 0.0000 0.0000 0.0000
N 0.0000 0.0000 0.5000
Te 0.0000 0.5000 0.0000
Te 0.5000 0.0000 0.0000

---

PmTmP | PBE-GGA | relaxed

Computed properties:
- Mass density: 6.6 Mg/m³
- Calculated total energy: -17.4 eV for the cell shown
- Energy relative to the elements: -0.9336 eV/atom
- E above lowest polymorph: 0 meV per atom

a b c (Å): 6.4495 3.9276 3.9276
angles (deg): 120.00 90.00 90.00
Site moments in Bohr magnetons follow the coordinates.
Fractional positions:
P 0.0089 0.0000 0.0000  0.00
Pm 0.7478 0.6667 0.3333  0.10
Tm 0.2433 0.3333 0.6667  -0.07

---

HoTh2Ag6 | PBE-GGA | relaxed

Computed properties:
- Mass density: 10.2 Mg/m³
- Calculated total energy: -38.1 eV for the cell shown
- Energy relative to the elements: -0.1728 eV/atom

a b c (Å): 3.3825 8.4021 8.4021
angles (deg): 120.00 90.00 90.00
Fractional positions:
Ag 0.5000 0.3302 0.3302
Ag 0.5000 0.0000 0.3302
Ag 0.5000 0.3302 0.0000
Ag 0.5000 0.0000 0.6698
Ag 0.5000 0.6698 0.0000
Ag 0.5000 0.6698 0.6698
Ho 0.0000 0.0000 0.0000
Th 0.0000 0.6667 0.3333
Th 0.0000 0.3333 0.6667

---

Tl3Sn4Au4 | PBE-GGA | relaxed

Computed properties:
- Mass density: 11.0 Mg/m³
- Calculated total energy: -37.5 eV for the cell shown
- Energy relative to the elements: -0.1190 eV/atom

a b c (Å): 4.5130 7.9718 9.0977
angles (deg): 115.98 104.36 90.00
Fractional positions:
Sn 0.3279 0.1264 0.6559
Sn 0.6721 0.4705 0.3441
Sn 0.6721 0.8736 0.3441
Sn 0.3279 0.5295 0.6559
Au 0.2218 0.7218 0.4436
Au 0.7782 0.2782 0.5564
Au 0.5000 0.7836 0.0000
Au 0.5000 0.2164 0.0000
Tl 0.8952 0.8952 0.7904
Tl 0.1048 0.1048 0.2096
Tl 0.0000 0.5000 0.0000

---

Y2ReSe | PBE-GGA | relaxed

Computed properties:
- Mass density: 8.2 Mg/m³
- Calculated total energy: -30.9 eV for the cell shown

a b c (Å): 4.4770 3.7527 5.6339
angles (deg): 70.54 90.00 90.00
Fractional positions:
Y 0.5000 0.2637 0.3474
Y 0.0000 0.9830 0.9095
Se 0.5000 0.5461 0.7826
Re 0.0000 0.7072 0.4604

---

Tm7Ag4Sn | PBE-GGA | relaxed

Computed properties:
- Mass density: 9.2 Mg/m³
- Calculated total energy: -48.3 eV for the cell shown
- Energy relative to the elements: -0.1342 eV/atom

a b c (Å): 5.6224 8.7600 7.7373
angles (deg): 64.17 68.70 71.28
Fractional positions:
Tm 0.5000 0.0000 0.0000
Tm 0.7138 0.3289 0.2434
Tm 0.8261 0.8792 0.4685
Tm 0.9219 0.4023 0.7538
Tm 0.0781 0.5977 0.2462
Tm 0.2862 0.6711 0.7566
Tm 0.1739 0.1208 0.5315
Ag 0.3039 0.3260 0.0662
Ag 0.6961 0.6740 0.9338
Ag 0.5199 0.3197 0.6404
Ag 0.4801 0.6803 0.3596
Sn 0.0000 0.0000 0.0000

---

Across the entries above, magnetization takes the values 0.00, 0.00, 0.00, 0.05, 0.00, 0.00, 0.00, 0.00 μB/atom, respectively.